# 1
A plane-wave DFT calculation with PBE was carried out for a relaxed structure of MnAl4Zn.

Its crystal system is cubic. The total moment comes out at 2.7 μB per formula unit. The formation energy comes out at 0.22 eV/atom. For the excess energy over the best structure of this formula in the dataset, the calculation gives 1.62 eV/f.u.

It has space group F-43m (No. 216), with a = 7.350 Å, b = 7.350 Å, c = 7.350 Å, α = 90.00°, β = 90.00° and γ = 90.00°. Symmetry generates all atoms from Mn at (0.000, 0.000, 0.000), Al at (0.125, 0.125, 0.375) and Zn at (0.250, 0.250, 0.750).

=====

# 2
A plane-wave DFT calculation with PBE was carried out for a relaxed structure of LaHfBeO2.

Its crystal system is tetragonal. The total moment comes out at 0.0 μB per formula unit. The formation energy (no corrections) comes out at -0.34 eV per atom.

It has space group P4/mmm (No. 123), with a = 4.359 Å, b = 4.359 Å, c = 5.281 Å, α = 90.00°, β = 90.00° and γ = 90.00°. Symmetry generates all atoms from La at (0.000, 0.000, 0.000), Hf at (0.500, 0.500, 0.500), Be at (0.000, 0.000, 0.500) and O at (0.000, 0.500, 0.000).

=====

# 3
A plane-wave DFT calculation with PBE was carried out for a relaxed structure of Ti4GaCu3.

Its crystal system is trigonal. The total moment comes out at 1.9 μB per formula unit. The formation energy comes out at -0.16 eV/atom.

It has space group R-3m (No. 166, hexagonal axes), with a = 4.3881 Å, b = 4.3881 Å, c = 21.5023 Å, α = 90.00°, β = 90.00° and γ = 120.00°. Symmetry generates all atoms from Ti at (0.0000, 0.0000, 0.1220), Ti at (0.0000, 0.0000, 0.3720), Ga at (0.0000, 0.0000, 0.5000), Cu at (0.0000, 0.0000, 0.0000) and Cu at (0.0000, 0.0000, 0.2483).

=====

# 4
A plane-wave DFT calculation with PBE was carried out for a relaxed structure of BaMoIr.

Its crystal system is cubic. The total moment comes out at 3.4 μB per formula unit. The formation energy comes out at 2.04 eV/atom. For the excess energy over the best structure of this formula in the dataset, the calculation gives 5.25 eV/f.u.

It has space group F-43m (No. 216), with a = 6.812 Å, b = 6.812 Å, c = 6.812 Å, α = 90.00°, β = 90.00° and γ = 90.00°. Symmetry generates all atoms from Ba at (0.000, 0.000, 0.000), Mo at (0.250, 0.250, 0.250) and Ir at (0.250, 0.250, 0.750).

=====

# 5
A plane-wave DFT calculation with PBE was carried out for a relaxed structure of TeAuSN2.

Its crystal system is tetragonal. The total moment comes out at 0.2 μB per formula unit. The formation energy (no corrections) comes out at 1.45 eV per atom. For the excess energy over the best structure of this formula in the dataset, the calculation gives 0.00 eV/f.u.

It has space group P4/mmm (No. 123), with a = 3.864 Å, b = 3.864 Å, c = 5.985 Å, α = 90.00°, β = 90.00° and γ = 90.00°. Symmetry generates all atoms from Te at (0.000, 0.000, 0.000), Au at (0.500, 0.500, 0.500), S at (0.000, 0.000, 0.500) and N at (0.000, 0.500, 0.000).

=====

# 6
A plane-wave DFT calculation with PBE was carried out for a relaxed structure of Sr2CdPd3.

Its crystal system is hexagonal. The total moment comes out at 0.0 μB per formula unit. The formation energy comes out at -0.58 eV/atom. For the excess energy over the best structure of this formula in the dataset, the calculation gives 0.00 eV/f.u.

It has space group P6_3/mmc (No. 194), with a = 5.8588 Å, b = 5.8588 Å, c = 9.0102 Å, α = 90.00°, β = 90.00° and γ = 120.00°. Symmetry generates all atoms from Sr at (0.3333, 0.6667, 0.0650), Cd at (0.0000, 0.0000, 0.0000) and Pd at (0.1707, 0.3414, 0.7500).

=====

# 7
A plane-wave DFT calculation with PBE was carried out for a relaxed structure of Fe3ReSe.

Its crystal system is cubic. The total moment comes out at 6.9 μB per formula unit. The formation energy (no corrections) comes out at 1.23 eV per atom. For the excess energy over the best structure of this formula in the dataset, the calculation gives 0.00 eV/f.u.

It has space group Pm-3m (No. 221), with a = 4.268 Å, b = 4.268 Å, c = 4.268 Å, α = 90.00°, β = 90.00° and γ = 90.00°. Symmetry generates all atoms from Fe at (0.000, 0.000, 0.500), Re at (0.500, 0.500, 0.500) and Se at (0.000, 0.000, 0.000).

=====

# 8
A plane-wave DFT calculation with PBE was carried out for a relaxed structure of Pa2FeAu.

Its crystal system is trigonal. The total moment comes out at 0.0 μB per formula unit. The formation energy comes out at 0.24 eV/atom. For the excess energy over the best structure of this formula in the dataset, the calculation gives 1.78 eV/f.u.

It has space group R-3m (No. 166, hexagonal axes), with a = 3.5701 Å, b = 3.5701 Å, c = 26.6646 Å, α = 90.00°, β = 90.00° and γ = 120.00°. Symmetry generates all atoms from Pa at (0.0000, 0.0000, 0.1085), Fe at (0.0000, 0.0000, 0.5000) and Au at (0.0000, 0.0000, 0.0000).

=====

# 9
A plane-wave DFT calculation with PBE was carried out for a relaxed structure of RhAu4Br.

Its crystal system is cubic. The total moment comes out at 1.4 μB per formula unit. The formation energy (no corrections) comes out at 0.49 eV per atom.

It has space group F-43m (No. 216), with a = 7.839 Å, b = 7.839 Å, c = 7.839 Å, α = 90.00°, β = 90.00° and γ = 90.00°. Symmetry generates all atoms from Rh at (0.000, 0.000, 0.000), Au at (0.125, 0.125, 0.625) and Br at (0.250, 0.250, 0.250).

=====

# 10
A plane-wave DFT calculation with PBE was carried out for a relaxed structure of KTl7Hg3.

Its crystal system is trigonal. The total moment comes out at 0.0 μB per formula unit. The formation energy comes out at -0.02 eV/atom.

It has space group P3m1 (No. 156), with a = 8.4656 Å, b = 8.4656 Å, c = 5.8095 Å, α = 90.00°, β = 90.00° and γ = 120.00°. Symmetry generates all atoms from K at (0.0000, 0.0000, 0.0000), Tl at (0.3333, 0.6667, 0.8183), Tl at (0.3961, 0.1981, 0.5568), Tl at (0.5359, 0.0719, 0.0398) and Hg at (0.2008, 0.4016, 0.3724).